VASP calculation (GGA-PBE) on crystalline LaSmCd2 at its relaxed geometry.

The value obtained for the uncorrected energy is -3.1894 eV per atom. Its energy of formation is -0.3202 eV/atom.

The structure belongs to space group P4/mmm (No. 123); the cell edges are 3.852, 3.852 and 7.841 Å and the angles 90.00°, 90.00° and 90.00°. The distinct sites, in fractional coordinates, are La at (0.000, 0.000, 0.000), Sm at (0.000, 0.000, 0.500) and Cd at (0.500, 0.500, 0.265).